(1)
A relaxed structure of AlSbOF2. Source: the Alexandria database, functional GGA-PBEsol.

Values from the calculation:
- uncorrected energy (eV/cell) = -26.90
- calculated volume (Å³/atom) = 12.582
- size of the total moment (μB per formula unit) = 0.00
- energy relative to the elements, uncorrected (eV per atom) = -1.830

Geometry as POSCAR:
```
AlSbOF2
1.0
4.248 0.000 0.000
0.000 4.248 0.000
0.000 0.000 3.486
Al Sb O F
1 1 1 2
Direct
0.000 0.000 0.000 Al
0.500 0.500 0.500 Sb
0.000 0.000 0.500 O
0.000 0.500 0.000 F
0.500 0.000 0.000 F
```

***

(2)
A relaxed structure of ScAlO2F. Source: the Alexandria database, functional GGA-PBEsol.

Values from the calculation:
- uncorrected energy (eV/cell) = -36.69
- calculated volume (Å³/atom) = 9.877
- size of the total moment (μB per formula unit) = 0.72
- energy relative to the elements, uncorrected (eV per atom) = -2.714

Geometry as POSCAR:
```
ScAlO2F
1.0
3.702 0.000 0.000
0.000 3.702 0.000
0.000 0.000 3.604
Sc Al O F
1 1 2 1
Direct
0.000 0.000 0.000 Sc
0.500 0.500 0.500 Al
0.000 0.500 0.500 O
0.500 0.000 0.500 O
0.500 0.500 0.000 F
```